Mg2Ni3O8, optimized geometry, DFT PBE with a Hubbard U; symmetry = C2/m; final energy = -5.035 eV per atom
1.0
-2.0686 -4.9480 2.0518
2.2598 -5.0384 -1.5747
2.9541 -1.2498 3.5569
O Ni Mg
8 3 2
direct
0.8870 0.3384 0.6102
0.1130 0.6616 0.3898
0.6616 0.1130 0.3898
0.1030 0.1030 0.0986
0.6089 0.6089 0.0620
0.3384 0.8870 0.6102
0.8970 0.8970 0.9014
0.3911 0.3911 0.9380
0.7459 0.2541 0.0000
0.2541 0.7459 0.0000
0.0000 0.0000 0.5000
0.2817 0.2817 0.6417
0.7183 0.7183 0.3583